(1)
## LiNbAs3 (SCAN)

Data for a PBEsol-optimized structure of LiNbAs3.

```
5
Lattice="4.972 0.000 0.000 0.000 4.972 0.000 0.000 0.000 4.972" Properties=species:S:1:pos:R:3 pbc="T T T"
Li 0.000 0.000 0.000
Nb 2.486 2.486 2.486
As 0.000 2.486 2.486
As 2.486 0.000 2.486
As 2.486 2.486 0.000
```

Calculated values
Its energy above the most stable polymorph in this dataset is 0.0000 eV per atom. The space group is Pm-3m. The calculated volume is 122.89 Å³/f.u. The value obtained for the total magnetic moment is 0.000 μB/atom. As for the raw total energy: -95.9 eV for the cell shown.

---

(2)
## Li2NbAsW (SCAN)

Data for a PBEsol-optimized structure of Li2NbAsW.

```
5
Lattice="4.384 0.000 0.000 0.000 4.384 0.000 0.000 0.000 4.757" Properties=species:S:1:pos:R:3 pbc="T T T"
Li 0.000 2.192 0.000
Li 2.192 0.000 0.000
Nb 0.000 0.000 0.000
As 0.000 0.000 2.379
W 2.192 2.192 2.379
```

Calculated values
The space group is P4/mmm. The calculated volume is 91.42 Å³/f.u. The value obtained for the total magnetic moment is 0.751 μB/atom. As for the raw total energy: -119.4 eV for the cell shown.

---

(3)
## LiNiAs (SCAN)

Data for a PBEsol-optimized structure of LiNiAs.

```
3
Lattice="-1.555 1.555 4.000 1.555 -1.555 4.000 1.555 1.555 -4.000" Properties=species:S:1:pos:R:3 pbc="T T T"
Li 0.000 0.000 0.000
Ni 0.000 0.000 5.508
As 0.000 0.000 2.502
```

Calculated values
The space group is I4mm. The calculated volume is 38.70 Å³/f.u. The value obtained for the total magnetic moment is 0.000 μB/atom. As for the raw total energy: -39.8 eV for the cell shown.